# 1
{
  "formula": "TaTiH2",
  "functional": "PBE",
  "state": "optimized geometry",
  "de_polymorph_mev_per_atom": 633,
  "spacegroup": "Fm-3m",
  "magnetic_moment_mub_per_cell": 0.00,
  "lattice": [[-2.992, -0.972, 2.184], [-3.319, -0.996, -1.632], [-1.178, -3.642, 0.124]],
  "species": ["Ta", "H", "H", "Ti"],
  "frac_coords": [[0.500, 0.500, 0.500], [0.750, 0.750, 0.750], [0.250, 0.250, 0.250], [0.000, 0.000, 0.000]]
}

***

# 2
{
  "formula": "RbMgMn2Cl",
  "functional": "PBE",
  "state": "optimized geometry",
  "spacegroup": "P4/mmm",
  "e_form_raw_mev_per_atom": 644,
  "magnetic_moment_mub_per_cell": 7.87,
  "lattice": [[-3.832, 2.712, 1.471], [-2.178, -0.115, -5.460], [-2.490, -4.103, 1.080]],
  "species": ["Mg", "Mn", "Mn", "Rb", "Cl"],
  "frac_coords": [[0.500, 0.500, 0.500], [0.000, 0.000, 0.500], [0.500, 0.000, 0.000], [0.000, 0.500, 0.000], [0.000, 0.000, 0.000]]
}

***

# 3
{
  "formula": "CdMo3",
  "functional": "PBE",
  "state": "optimized geometry",
  "de_polymorph_mev_per_atom": 166,
  "spacegroup": "R-3m",
  "magnetic_moment_mub_per_cell": 0.00,
  "lattice": [[2.712, 0.000, 0.000], [0.904, 5.333, 0.000], [0.904, -2.667, 4.619]],
  "species": ["Mo", "Mo", "Mo", "Cd"],
  "frac_coords": [[0.500, 0.000, 0.500], [0.000, 0.500, 0.500], [0.500, 0.500, 0.000], [0.000, 0.000, 0.000]]
}

***

# 4
{
  "formula": "NaFeTc2H",
  "functional": "PBE",
  "state": "optimized geometry",
  "e_tot_ev_per_atom": -5.0882,
  "spacegroup": "P4/mmm",
  "magnetic_moment_mub_per_cell": 3.96,
  "lattice": [[-1.212, 0.733, 4.145], [1.733, -5.102, 1.408], [3.983, 1.596, 0.882]],
  "species": ["Tc", "Tc", "Fe", "Na", "H"],
  "frac_coords": [[0.000, 0.000, 0.500], [0.500, 0.000, 0.000], [0.000, 0.000, 0.000], [0.000, 0.500, 0.000], [0.500, 0.500, 0.500]]
}

***

# 5
{
  "formula": "Ag3W4",
  "functional": "PBE",
  "state": "optimized geometry",
  "e_tot_ev_per_atom": -8.0135,
  "spacegroup": "I4/mmm",
  "magnetic_moment_mub_per_cell": 0.00,
  "lattice": [[4.958, 0.002, 10.029], [0.474, 0.685, 11.157], [-3.029, -2.654, -10.438]],
  "species": ["W", "W", "W", "W", "Ag", "Ag", "Ag"],
  "frac_coords": [[0.422, 0.422, 0.000], [0.135, 0.135, 0.000], [0.865, 0.865, 0.000], [0.578, 0.578, 0.000], [0.716, 0.716, 0.000], [0.000, 0.000, 0.000], [0.284, 0.284, 0.000]]
}

***

# 6
{
  "formula": "ErPu2Ru3",
  "functional": "PBE",
  "state": "optimized geometry",
  "e_tot_ev_per_atom": -10.4178,
  "spacegroup": "Cmmm",
  "magnetic_moment_mub_per_cell": 8.30,
  "lattice": [[3.354, 0.000, 0.000], [0.000, 4.588, -1.519], [0.000, -0.053, 7.528]],
  "species": ["Ru", "Ru", "Ru", "Pu", "Pu", "Er"],
  "frac_coords": [[0.500, 0.826, 0.653], [0.500, 0.174, 0.347], [0.500, 0.500, 0.000], [0.000, 0.335, 0.671], [0.000, 0.665, 0.329], [0.000, 0.000, 0.000]]
}

***

# 7
{
  "formula": "NdAlAs",
  "functional": "PBE",
  "state": "optimized geometry",
  "e_tot_ev_per_atom": -5.0891,
  "spacegroup": "R-3m",
  "magnetic_moment_mub_per_cell": 0.00,
  "lattice": [[4.870, 0.000, 0.000], [2.435, 4.217, 0.000], [2.435, 1.406, 7.906]],
  "species": ["Nd", "Nd", "Al", "Al", "As", "As"],
  "frac_coords": [[0.410, 0.410, 0.769], [0.590, 0.590, 0.231], [0.177, 0.177, 0.469], [0.823, 0.823, 0.531], [0.283, 0.283, 0.152], [0.717, 0.717, 0.848]]
}

***

# 8
{
  "formula": "InAu2Se",
  "functional": "PBE",
  "state": "optimized geometry",
  "de_polymorph_mev_per_atom": 72,
  "spacegroup": "Immm",
  "e_form_raw_mev_per_atom": -31,
  "magnetic_moment_mub_per_cell": 0.00,
  "lattice": [[4.772, -0.984, -0.670], [-0.689, 4.823, 0.670], [-1.423, -2.577, 3.940]],
  "species": ["Se", "Au", "Au", "In"],
  "frac_coords": [[0.875, 0.375, 0.500], [0.875, 0.875, 0.000], [0.375, 0.875, 0.500], [0.375, 0.375, 0.000]]
}